Record 1
A plane-wave DFT calculation with PBE-GGA was carried out for an optimized crystal structure of SrNiBi3.

DFT formation energy = 1291 meV per atom
D(E_F) = 2.44 states/eV/atom
ρ = 5.796 Mg/m³
space-group type = Pm-3m
size of the total moment = 1.0 μB per formula unit
E above lowest polymorph = 1.608 eV/atom
V = 44.31 Å³/atom

a = 6.0507 Å, b = 6.0507 Å, c = 6.0507 Å
α = 90.00°, β = 90.00°, γ = 90.00°
With the nearest neighbours (Å) after each atom.
Fractional positions:
Sr 0.0000 0.0000 0.0000  6 Bi 3.03
Ni 0.5000 0.5000 0.5000  12 Bi 4.28
Bi 0.0000 0.0000 0.5000  2 Sr 3.03
Bi 0.0000 0.5000 0.0000  2 Sr 3.03
Bi 0.5000 0.0000 0.0000  2 Sr 3.03

=====

Record 2
A plane-wave DFT calculation with PBE-GGA was carried out for an optimized crystal structure of ZnCuBi2.

DFT formation energy = 401 meV per atom
D(E_F) = 0.55 states/eV/atom
ρ = 8.838 Mg/m³
space-group type = R-3m
size of the total moment = 0.0 μB per formula unit
V = 25.69 Å³/atom

a = 10.1635 Å, b = 10.1635 Å, c = 10.1635 Å
α = 19.55°, β = 19.55°, γ = 19.55°
With the nearest neighbours (Å) after each atom.
Fractional positions:
Zn 0.0000 0.0000 0.0000  6 Bi 3.06
Cu 0.5000 0.5000 0.5000  2 Bi 2.66
Bi 0.4110 0.4110 0.4110  1 Cu 2.66
Bi 0.5890 0.5890 0.5890  1 Cu 2.66

=====

Record 3
A plane-wave DFT calculation with PBE-GGA was carried out for an optimized crystal structure of ZnSbIr2.

D(E_F) = 1.09 states/eV/atom
ρ = 12.820 Mg/m³
space-group type = P4mm
size of the total moment = 0.0 μB per formula unit
formation energy from raw total energies = 66 kJ/mol of formula units
E above lowest polymorph = 0.214 eV/atom
V = 18.51 Å³/atom

a = 3.0005 Å, b = 3.0005 Å, c = 8.2232 Å
α = 90.00°, β = 90.00°, γ = 90.00°
With the nearest neighbours (Å) after each atom.
Fractional positions:
Zn 0.0000 0.0000 0.0000  4 Ir 2.58
Sb 0.5000 0.5000 0.6208  4 Ir 2.76, 4 Sb 3.00
Ir 0.0000 0.0000 0.4055  4 Sb 2.76, 8 Ir 2.82-3.00
Ir 0.5000 0.5000 0.1787  4 Zn 2.58, 4 Ir 2.82

=====

Record 4
A plane-wave DFT calculation with PBE-GGA was carried out for an optimized crystal structure of Pr6Sn3Pb.

DFT formation energy = -467 meV per atom
D(E_F) = 0.91 states/eV/atom
ρ = 6.895 Mg/m³
space-group type = Cmc2_1
size of the total moment = 0.0 μB per formula unit
V = 33.93 Å³/atom

a = 9.6873 Å, b = 9.6873 Å, c = 7.7702 Å
α = 90.00°, β = 90.00°, γ = 111.48°
With the nearest neighbours (Å) after each atom.
Fractional positions:
Pr 0.0321 0.9679 0.5000  2 Pb 3.18-3.53, 4 Sn 3.23-3.32, 2 Pr 3.53
Pr 0.0954 0.5037 0.0053  3 Sn 3.16-3.23, 1 Pb 3.37
Pr 0.2458 0.3261 0.6521  4 Sn 3.18-3.37, 1 Pr 3.53
Pr 0.2873 0.7127 0.5764  1 Pb 3.52, 3 Sn 3.54-3.65, 4 Pr 3.57-3.66
Pr 0.3261 0.2458 0.1521  4 Sn 3.18-3.37, 1 Pr 3.53
Pr 0.4963 0.9046 0.0053  3 Sn 3.16-3.23, 1 Pb 3.37
Pr 0.5037 0.0954 0.5053  3 Sn 3.16-3.23, 1 Pb 3.37
Pr 0.6739 0.7542 0.6521  4 Sn 3.18-3.37, 1 Pr 3.53
Pr 0.7127 0.2873 0.0764  1 Pb 3.52, 3 Sn 3.54-3.65, 4 Pr 3.57-3.66
Pr 0.7542 0.6739 0.1521  4 Sn 3.18-3.37, 1 Pr 3.53
Pr 0.9046 0.4963 0.5053  3 Sn 3.16-3.23, 1 Pb 3.37
Pr 0.9679 0.0321 0.0000  2 Pb 3.18-3.53, 4 Sn 3.23-3.32, 2 Pr 3.53
Sn 0.0198 0.2698 0.3087  1 Sn 3.16, 7 Pr 3.16-3.54, 1 Pb 3.48
Sn 0.2698 0.0198 0.8087  1 Sn 3.16, 7 Pr 3.16-3.54, 1 Pb 3.48
Sn 0.4392 0.5608 0.9271  6 Pr 3.18-3.33
Sn 0.5608 0.4392 0.4271  6 Pr 3.18-3.33
Sn 0.7302 0.9802 0.3087  1 Sn 3.16, 7 Pr 3.16-3.54, 1 Pb 3.48
Sn 0.9802 0.7302 0.8087  1 Sn 3.16, 7 Pr 3.16-3.54, 1 Pb 3.48
Pb 0.1662 0.8338 0.1986  5 Pr 3.18-3.53, 2 Sn 3.48
Pb 0.8338 0.1662 0.6986  5 Pr 3.18-3.53, 2 Sn 3.48

=====

Question: What is the V in the third record?
Answer: 18.51 Å³/atom

=====

Question: Which of these has the highest V?
Answer: SrNiBi3